*a*
# SbP2Pb

SbP2Pb after structural relaxation (PBE-GGA, Alexandria via LeMat-Bulk).

Unit cell a=3.9582 b=3.9582 c=21.1296 alpha=90.00 beta=90.00 gamma=120.00
Last column: nearest neighbours and their distance in Å.
Space group R3m (No. 160, hexagonal axes)
Unique sites:
Sb  0.0000  0.0000  0.0000 (multiplicity 3)  3 P 2.68
P  0.0000  0.0000  0.2672 (multiplicity 3)  3 Sb 2.68, 3 P 2.80
P  0.0000  0.0000  0.5243 (multiplicity 3)  3 Pb 2.74, 3 P 2.80
Pb  0.0000  0.0000  0.7859 (multiplicity 3)  3 P 2.74

***

*b*
# SbP2Pb

SbP2Pb after structural relaxation (PBE-GGA, Alexandria via LeMat-Bulk).

Unit cell a=4.0617 b=4.0617 c=11.1662 alpha=90.00 beta=90.00 gamma=90.00
Last column: nearest neighbours and their distance in Å.
Space group I-4m2 (No. 119)
Unique sites:
Sb  0.0000  0.0000  0.0000 (multiplicity 2)  4 P 2.87
P  0.0000  0.0000  0.5000 (multiplicity 2)  4 Sb 2.87
P  0.0000  0.5000  0.7500 (multiplicity 2)  4 Pb 2.87
Pb  0.0000  0.5000  0.2500 (multiplicity 2)  4 P 2.87

***

*c*
# SbP2Pb

SbP2Pb after structural relaxation (PBE-GGA, Alexandria via LeMat-Bulk).

Unit cell a=7.0442 b=7.0442 c=9.0556 alpha=90.00 beta=90.00 gamma=90.00
Last column: nearest neighbours and their distance in Å.
Space group I-42d (No. 122)
Unique sites:
Sb  0.0000  0.0000  0.0000 (multiplicity 4)  4 P 2.62
P  0.2248  0.7500  0.1250 (multiplicity 8)  2 Sb 2.62, 2 Pb 2.85
Pb  0.0000  0.0000  0.5000 (multiplicity 4)  4 P 2.85

***

*d*
# SbP2Pb

SbP2Pb after structural relaxation (PBE-GGA, Alexandria via LeMat-Bulk).

Unit cell a=12.4762 b=3.9058 c=4.1117 alpha=90.00 beta=92.34 gamma=90.00
Last column: nearest neighbours and their distance in Å.
Space group Cm (No. 8)
Unique sites:
Sb  0.0000  0.0000  0.0000 (multiplicity 2)  2 P 2.70
P  0.2831  0.0000  0.5481 (multiplicity 2)  1 P 2.15
P  0.4558  0.0000  0.5614 (multiplicity 2)  1 P 2.15
Pb  0.2308  0.5000  0.0476 (multiplicity 2)  4 P 2.89-2.93

***

Q: Which of them is the most stable? A: *d*.

***

*a*
# Sb2P2Pb

Sb2P2Pb after structural relaxation (PBE-GGA, Alexandria via LeMat-Bulk).

Unit cell a=4.3457 b=4.3457 c=13.4137 alpha=90.00 beta=90.00 gamma=90.00
Last column: nearest neighbours and their distance in Å.
Space group I4/mmm (No. 139)
Unique sites:
Sb  0.0000  0.5000  0.2500 (multiplicity 4)  4 Sb 3.07, 4 P 3.15
P  0.0000  0.0000  0.0801 (multiplicity 4)  1 P 2.15
Pb  0.0000  0.0000  0.5000 (multiplicity 2)  8 P 3.26

***

*b*
# Sb2P2Pb

Sb2P2Pb after structural relaxation (PBE-GGA, Alexandria via LeMat-Bulk).

Unit cell a=8.4386 b=8.4386 c=3.7019 alpha=90.00 beta=90.00 gamma=90.00
Last column: nearest neighbours and their distance in Å.
Space group P4/mbm (No. 127)
Unique sites:
Sb  0.1622  0.3378  0.0000 (multiplicity 4)  2 P 2.56
P  0.1890  0.6890  0.5000 (multiplicity 4)  2 Sb 2.56
Pb  0.0000  0.0000  0.5000 (multiplicity 2)  4 P 3.07

***

Q: Which of them is the most stable? A: *b*.

***

*a*
# Sb3PPb

Sb3PPb after structural relaxation (PBE-GGA, Alexandria via LeMat-Bulk).

Unit cell a=5.7209 b=5.7209 c=5.7209 alpha=90.00 beta=90.00 gamma=90.00
Last column: nearest neighbours and their distance in Å.
Space group Pm-3m (No. 221)
Unique sites:
Sb  0.0000  0.0000  0.5000 (multiplicity 3)  2 Pb 2.86
P  0.5000  0.5000  0.5000 (multiplicity 1)  12 Sb 4.05
Pb  0.0000  0.0000  0.0000 (multiplicity 1)  6 Sb 2.86

***

*b*
# Sb3PPb

Sb3PPb after structural relaxation (PBE-GGA, Alexandria via LeMat-Bulk).

Unit cell a=5.2744 b=5.2744 c=5.2744 alpha=90.00 beta=90.00 gamma=90.00
Last column: nearest neighbours and their distance in Å.
Space group Pm-3m (No. 221)
Unique sites:
Sb  0.0000  0.0000  0.5000 (multiplicity 3)  2 P 2.64
P  0.0000  0.0000  0.0000 (multiplicity 1)  6 Sb 2.64
Pb  0.5000  0.5000  0.5000 (multiplicity 1)  12 Sb 3.73

***

Q: Which of them is the most stable? A: *b*.

***

*a*
# Sb2PPb2

Sb2PPb2 after structural relaxation (PBE-GGA, Alexandria via LeMat-Bulk).

Unit cell a=7.2539 b=7.2539 c=5.4503 alpha=90.00 beta=90.00 gamma=90.00
Last column: nearest neighbours and their distance in Å.
Space group P4/mbm (No. 127)
Unique sites:
Sb  0.1462  0.3538  0.0000 (multiplicity 4)  2 P 2.78, 1 Sb 3.00
P  0.0000  0.0000  0.0000 (multiplicity 2)  4 Sb 2.78
Pb  0.1889  0.6889  0.5000 (multiplicity 4)  2 Sb 3.21

***

*b*
# Sb2PPb2

Sb2PPb2 after structural relaxation (PBE-GGA, Alexandria via LeMat-Bulk).

Unit cell a=6.1807 b=6.1807 c=8.2457 alpha=90.00 beta=90.00 gamma=90.00
Last column: nearest neighbours and their distance in Å.
Space group I4/mmm (No. 139)
Unique sites:
Sb  0.0000  0.0000  0.1785 (multiplicity 4)  1 P 2.65, 1 Sb 2.94
P  0.0000  0.0000  0.5000 (multiplicity 2)  2 Sb 2.65
Pb  0.0000  0.5000  0.2500 (multiplicity 4)  4 Sb 3.15

***

Q: Which of them is the most stable? A: *a*.

***

*a*
# SbTe2PPb

SbTe2PPb after structural relaxation (PBE-GGA, Alexandria via LeMat-Bulk).

Unit cell a=5.4213 b=5.4213 c=5.0895 alpha=90.00 beta=90.00 gamma=90.00
Last column: nearest neighbours and their distance in Å.
Space group P4/mmm (No. 123)
Unique sites:
Sb  0.0000  0.0000  0.0000 (multiplicity 1)  2 P 2.54
Te  0.0000  0.5000  0.5000 (multiplicity 2)  2 P 2.71
P  0.0000  0.0000  0.5000 (multiplicity 1)  2 Sb 2.54, 4 Te 2.71
Pb  0.5000  0.5000  0.0000 (multiplicity 1)  8 Te 3.72, 4 Sb 3.83

***

*b*
# SbTe2PPb

SbTe2PPb after structural relaxation (PBE-GGA, Alexandria via LeMat-Bulk).

Unit cell a=5.8849 b=5.8849 c=6.0607 alpha=90.00 beta=90.00 gamma=90.00
Last column: nearest neighbours and their distance in Å.
Space group P4/mmm (No. 123)
Unique sites:
Sb  0.0000  0.0000  0.0000 (multiplicity 1)  2 Pb 3.03
Te  0.0000  0.5000  0.5000 (multiplicity 2)  2 Pb 2.94
P  0.5000  0.5000  0.0000 (multiplicity 1)  4 Sb 4.16, 8 Te 4.22
Pb  0.0000  0.0000  0.5000 (multiplicity 1)  4 Te 2.94, 2 Sb 3.03

***

Q: Which of them is the most stable? A: *a*.

***

*a*
# ScPPb3

ScPPb3 after structural relaxation (PBE-GGA, Alexandria via LeMat-Bulk).

Unit cell a=5.3900 b=5.3900 c=5.3900 alpha=90.00 beta=90.00 gamma=90.00
Last column: nearest neighbours and their distance in Å.
Space group Pm-3m (No. 221)
Unique sites:
Sc  0.0000  0.0000  0.0000 (multiplicity 1)  12 Pb 3.81
P  0.5000  0.5000  0.5000 (multiplicity 1)  6 Pb 2.69
Pb  0.0000  0.5000  0.5000 (multiplicity 3)  2 P 2.69

***

*b*
# ScPPb3

ScPPb3 after structural relaxation (PBE-GGA, Alexandria via LeMat-Bulk).

Unit cell a=5.5746 b=5.5746 c=5.5746 alpha=90.00 beta=90.00 gamma=90.00
Last column: nearest neighbours and their distance in Å.
Space group Pm-3m (No. 221)
Unique sites:
Sc  0.0000  0.0000  0.0000 (multiplicity 1)  6 Pb 2.79
P  0.5000  0.5000  0.5000 (multiplicity 1)  12 Pb 3.94
Pb  0.0000  0.0000  0.5000 (multiplicity 3)  2 Sc 2.79

***

Q: Which of them is the most stable? A: *a*.

***

*a*
# Si3PPb

Si3PPb after structural relaxation (PBE-GGA, Alexandria via LeMat-Bulk).

Unit cell a=4.6969 b=4.6969 c=4.6969 alpha=90.00 beta=90.00 gamma=90.00
Last column: nearest neighbours and their distance in Å.
Space group Pm-3m (No. 221)
Unique sites:
Si  0.0000  0.0000  0.5000 (multiplicity 3)  2 P 2.35
P  0.0000  0.0000  0.0000 (multiplicity 1)  6 Si 2.35
Pb  0.5000  0.5000  0.5000 (multiplicity 1)  12 Si 3.32

***

*b*
# Si3PPb

Si3PPb after structural relaxation (PBE-GGA, Alexandria via LeMat-Bulk).

Unit cell a=5.2423 b=5.2423 c=5.2423 alpha=90.00 beta=90.00 gamma=90.00
Last column: nearest neighbours and their distance in Å.
Space group Pm-3m (No. 221)
Unique sites:
Si  0.0000  0.0000  0.5000 (multiplicity 3)  2 Pb 2.62
P  0.5000  0.5000  0.5000 (multiplicity 1)  12 Si 3.71
Pb  0.0000  0.0000  0.0000 (multiplicity 1)  6 Si 2.62

***

Q: Which of them is the most stable? A: *a*.

***

*a*
# Si2PPb

Si2PPb after structural relaxation (PBE-GGA, Alexandria via LeMat-Bulk).

Unit cell a=9.7436 b=3.3246 c=5.5524 alpha=90.00 beta=112.40 gamma=90.00
Last column: nearest neighbours and their distance in Å.
Space group C2/m (No. 12)
Unique sites:
Si  0.1975  0.0000  0.1182 (multiplicity 4)  2 P 2.44, 2 Si 2.56
P  0.0000  0.5000  0.0000 (multiplicity 2)  4 Si 2.44
Pb  0.0000  0.0000  0.5000 (multiplicity 2)  8 Si 3.23-3.36, 4 P 3.24, 2 Pb 3.32

***

*b*
# Si2PPb

Si2PPb after structural relaxation (PBE-GGA, Alexandria via LeMat-Bulk).

Unit cell a=3.3784 b=3.3784 c=6.8723 alpha=90.00 beta=90.00 gamma=90.00
Last column: nearest neighbours and their distance in Å.
Space group P4/mmm (No. 123)
Unique sites:
Si  0.0000  0.0000  0.1731 (multiplicity 2)  1 Si 2.38
P  0.5000  0.5000  0.0000 (multiplicity 1)  8 Si 2.67
Pb  0.5000  0.5000  0.5000 (multiplicity 1)  8 Si 3.28, 4 Pb 3.38, 2 P 3.44

***

Q: Which of them is the most stable? A: *a*.

***

*a*
# Si2PPb

Si2PPb after structural relaxation (PBE-GGA, Alexandria via LeMat-Bulk).

Unit cell a=3.4200 b=5.5672 c=8.8208 alpha=90.00 beta=90.00 gamma=90.00
Last column: nearest neighbours and their distance in Å.
Space group Imm2 (No. 44)
Unique sites:
Si  0.0000  0.0000  0.0000 (multiplicity 2)  2 P 2.29, 2 Si 2.50
Si  0.0000  0.5000  0.2939 (multiplicity 2)  2 Si 2.50
P  0.0000  0.5000  0.6735 (multiplicity 2)  2 Si 2.29
Pb  0.0000  0.0000  0.4910 (multiplicity 2)  8 Si 3.17-3.28, 4 P 3.22-3.28, 2 Pb 3.42

***

*b*
# Si2PPb

Si2PPb after structural relaxation (PBE-GGA, Alexandria via LeMat-Bulk).

Unit cell a=3.4434 b=5.5566 c=8.5209 alpha=90.00 beta=90.00 gamma=90.00
Last column: nearest neighbours and their distance in Å.
Space group Cmmm (No. 65)
Unique sites:
Si  0.0000  0.0000  0.1939 (multiplicity 4)  2 P 2.39
P  0.0000  0.5000  0.0000 (multiplicity 2)  4 Si 2.39
Pb  0.0000  0.5000  0.5000 (multiplicity 2)  4 Si 3.13, 6 Pb 3.27-3.44

***

*c*
# Si2PPb

Si2PPb after structural relaxation (PBE-GGA, Alexandria via LeMat-Bulk).

Unit cell a=3.5394 b=3.5394 c=22.9397 alpha=90.00 beta=90.00 gamma=120.00
Last column: nearest neighbours and their distance in Å.
Space group R3m (No. 160, hexagonal axes)
Unique sites:
Si  0.0000  0.0000  0.0000 (multiplicity 3)  3 P 2.34, 3 Si 2.58
Si  0.0000  0.0000  0.2647 (multiplicity 3)  3 Si 2.58
P  0.0000  0.0000  0.7167 (multiplicity 3)  3 Si 2.34
Pb  0.0000  0.0000  0.5004 (multiplicity 3)  3 Si 3.03, 3 P 3.38

***

Q: Which of them is the most stable? A: *c*.

***

*a*
# Si2PPb

Si2PPb after structural relaxation (PBE-GGA, Alexandria via LeMat-Bulk).

Unit cell a=6.7689 b=6.7689 c=6.7689 alpha=90.00 beta=90.00 gamma=90.00
Last column: nearest neighbours and their distance in Å.
Space group Fm-3m (No. 225)
Unique sites:
Si  0.2500  0.2500  0.2500 (multiplicity 8)  4 Pb 2.93, 4 P 2.93
P  0.0000  0.0000  0.0000 (multiplicity 4)  8 Si 2.93
Pb  0.0000  0.0000  0.5000 (multiplicity 4)  8 Si 2.93

***

*b*
# Si2PPb

Si2PPb after structural relaxation (PBE-GGA, Alexandria via LeMat-Bulk).

Unit cell a=3.6589 b=3.6589 c=6.3639 alpha=90.00 beta=90.00 gamma=90.00
Last column: nearest neighbours and their distance in Å.
Space group P4mm (No. 99)
Unique sites:
Si  0.0000  0.0000  0.0000 (multiplicity 1)  1 P 2.23
Si  0.5000  0.5000  0.3527 (multiplicity 1)  4 P 2.59
P  0.0000  0.0000  0.3502 (multiplicity 1)  1 Si 2.23
Pb  0.5000  0.5000  0.8087 (multiplicity 1)  5 Si 2.86-2.90

***

Q: Which of them is the most stable? A: *b*.

***

*a*
# Si2PPb

Si2PPb after structural relaxation (PBE-GGA, Alexandria via LeMat-Bulk).

Unit cell a=6.3724 b=6.3724 c=9.2301 alpha=90.00 beta=90.00 gamma=90.00
Last column: nearest neighbours and their distance in Å.
Space group I-42d (No. 122)
Unique sites:
Si  0.1898  0.2500  0.1250 (multiplicity 8)  2 P 2.31
P  0.0000  0.0000  0.0000 (multiplicity 4)  4 Si 2.31
Pb  0.0000  0.0000  0.5000 (multiplicity 4)  4 Si 2.79

***

*b*
# Si2PPb

Si2PPb after structural relaxation (PBE-GGA, Alexandria via LeMat-Bulk).

Unit cell a=6.7789 b=6.7789 c=6.7789 alpha=90.00 beta=90.00 gamma=90.00
Last column: nearest neighbours and their distance in Å.
Space group F-43m (No. 216)
Unique sites:
Si  0.0000  0.0000  0.0000 (multiplicity 4)  4 Pb 2.94, 4 Si 2.94
Si  0.2500  0.2500  0.2500 (multiplicity 4)  4 Si 2.94, 4 P 2.94
P  0.0000  0.0000  0.5000 (multiplicity 4)  4 Pb 2.94, 4 Si 2.94
Pb  0.2500  0.2500  0.7500 (multiplicity 4)  4 Si 2.94, 4 P 2.94

***

Q: Which of them is the most stable? A: *a*.

***

*a*
# Sm4PPb2

Sm4PPb2 after structural relaxation (PBE-GGA, Alexandria via LeMat-Bulk).

Unit cell a=6.8089 b=6.5963 c=9.8928 alpha=90.00 beta=108.92 gamma=90.00
Last column: nearest neighbours and their distance in Å.
Space group P2_1/m (No. 11)
Unique sites:
Sm  0.1656  0.2500  0.0811 (multiplicity 2)  1 P 2.76
Sm  0.2611  0.0003  0.7519 (multiplicity 4)  1 P 2.78
Sm  0.3102  0.7500  0.3714 (multiplicity 2)  1 P 2.74
P  0.4796  0.2500  0.3408 (multiplicity 2)  4 Sm 2.74-2.78, 1 Pb 2.80
Pb  0.1449  0.2500  0.4465 (multiplicity 2)  1 P 2.80
Pb  0.3371  0.7500  0.0490 (multiplicity 2)  8 Sm 3.24-3.55

***

*b*
# Sm4PPb2

Sm4PPb2 after structural relaxation (PBE-GGA, Alexandria via LeMat-Bulk).

Unit cell a=5.2641 b=5.2641 c=16.5242 alpha=90.00 beta=90.00 gamma=90.00
Last column: nearest neighbours and their distance in Å.
Space group I4/mmm (No. 139)
Unique sites:
Sm  0.0000  0.0000  0.1690 (multiplicity 4)  1 P 2.79
Sm  0.0000  0.5000  0.0000 (multiplicity 4)  2 P 2.63
P  0.0000  0.0000  0.0000 (multiplicity 2)  6 Sm 2.63-2.79
Pb  0.0000  0.0000  0.3639 (multiplicity 4)  5 Sm 3.22-3.46

***

Q: Which of them is the most stable? A: *b*.